Ta2Be | PBE-GGA | relaxed Values from VASP.

Cell and atoms, written as Quantum ESPRESSO input:
```
&SYSTEM
  ibrav = 0, nat = 3, ntyp = 2
/
ATOMIC_SPECIES
Ta 180.95 Ta.upf
Be 9.01 Be.upf
CELL_PARAMETERS angstrom
-2.598 -2.629 5.028
0.984 -1.337 6.015
0.039 3.720 -5.010
ATOMIC_POSITIONS angstrom
Ta -0.572 -1.405 3.912
Be 0.000 0.000 0.000
Ta -1.042 -2.561 7.131
```

Output
The calculation puts the mass density at 13.44 g/cm³. The density of states at the Fermi level comes out at 2.31 states/eV/f.u. As for the crystal system: tetragonal. The total magnetization comes out at 0.0 μB/f.u. The calculation puts the calculated total energy at -27.28 eV per cell. The space group is I4/mmm.


Ta3Be | PBE-GGA | relaxed Values from VASP.

Cell and atoms, written as Quantum ESPRESSO input:
```
&SYSTEM
  ibrav = 0, nat = 8, ntyp = 2
/
ATOMIC_SPECIES
Ta 180.95 Ta.upf
Be 9.01 Be.upf
CELL_PARAMETERS angstrom
-4.518 -1.187 2.010
-0.813 -3.305 -3.779
2.189 -3.679 2.746
ATOMIC_POSITIONS angstrom
Ta -1.712 -1.513 1.692
Be -1.571 -4.086 0.489
Ta -0.618 -3.353 3.065
Ta -1.536 -1.949 -1.387
Ta 0.485 -4.318 -1.461
Be 0.000 0.000 0.000
Ta -3.795 -2.543 -0.382
Ta 0.891 -2.666 0.428
```

Output
The calculation puts the mass density at 13.93 g/cm³. The density of states at the Fermi level comes out at 5.02 states/eV/f.u. As for the crystal system: cubic. The total magnetization comes out at 0.0 μB/f.u. The calculation puts the calculated total energy at -77.30 eV per cell. The space group is Pm-3n.


Ta3Be | PBE-GGA | relaxed Values from VASP.

Cell and atoms, written as Quantum ESPRESSO input:
```
&SYSTEM
  ibrav = 0, nat = 8, ntyp = 2
/
ATOMIC_SPECIES
Ta 180.95 Ta.upf
Be 9.01 Be.upf
CELL_PARAMETERS angstrom
3.074 -4.647 0.000
3.074 4.647 0.000
0.000 0.000 4.534
ATOMIC_POSITIONS angstrom
Ta 1.664 -1.002 1.134
Ta 1.664 1.002 3.401
Be 3.074 -1.510 3.401
Ta 3.074 -3.405 1.134
Ta 4.485 1.002 3.401
Be 3.074 1.510 1.134
Ta 4.485 -1.002 1.134
Ta 3.074 3.405 3.401
```

Output
The calculation puts the mass density at 14.15 g/cm³. The density of states at the Fermi level comes out at 2.55 states/eV/f.u. As for the crystal system: orthorhombic. The total magnetization comes out at 0.0 μB/f.u. The calculation puts the calculated total energy at -78.13 eV per cell. The space group is Cmcm.


Ta6Be23 | PBE-GGA | relaxed Values from VASP.

Cell and atoms, written as Quantum ESPRESSO input:
```
&SYSTEM
  ibrav = 0, nat = 29, ntyp = 2
/
ATOMIC_SPECIES
Be 9.01 Be.upf
Ta 180.95 Ta.upf
CELL_PARAMETERS angstrom
-3.709 5.806 -2.799
-5.229 3.382 4.065
1.213 6.830 2.680
ATOMIC_POSITIONS angstrom
Be 0.607 3.415 1.340
Be -4.803 9.960 2.454
Ta -0.769 7.290 2.404
Be -3.862 8.009 1.973
Be -2.008 5.106 3.372
Be -5.469 7.705 3.473
Be -1.002 4.839 1.487
Be -1.248 6.318 -0.060
Be -2.996 7.131 3.818
Be -5.395 6.632 1.147
Be -6.722 11.178 2.459
Be -6.364 13.196 3.251
Ta -6.956 8.727 1.542
Be -2.330 9.386 2.798
Ta -3.769 6.666 -0.936
Ta -3.029 10.829 0.698
Be -2.255 8.312 0.473
Be -2.614 1.691 2.032
Be -2.906 3.820 1.896
Be -4.469 4.594 0.633
Be -5.268 11.481 4.078
Be -4.729 8.887 0.128
Ta -4.695 5.189 3.248
Be -1.854 2.903 -1.400
Ta -3.956 9.351 4.882
Be -4.819 12.197 2.050
Be -2.456 4.537 -0.132
Be -1.361 2.821 0.695
Be -2.921 6.057 1.492
```

Output
The calculation puts the mass density at 7.38 g/cm³. The density of states at the Fermi level comes out at 12.11 states/eV/f.u. As for the crystal system: cubic. The total magnetization comes out at 0.0 μB/f.u. The calculation puts the calculated total energy at -162.44 eV per cell. The space group is Fm-3m.


TaBe | PBE-GGA | relaxed Values from VASP.

Cell and atoms, written as Quantum ESPRESSO input:
```
&SYSTEM
  ibrav = 0, nat = 4, ntyp = 2
/
ATOMIC_SPECIES
Be 9.01 Be.upf
Ta 180.95 Ta.upf
CELL_PARAMETERS angstrom
-0.688 2.732 0.792
-3.788 -0.705 -0.858
-0.748 -1.503 4.534
ATOMIC_POSITIONS angstrom
Be -0.093 -0.188 0.566
Be -2.705 0.074 2.801
Ta -2.331 0.826 0.534
Ta -0.467 -0.939 2.834
```

Output
The calculation puts the mass density at 11.29 g/cm³. The density of states at the Fermi level comes out at 0.91 states/eV/f.u. As for the crystal system: orthorhombic. The total magnetization comes out at 0.0 μB/f.u. The calculation puts the calculated total energy at -30.04 eV per cell. The space group is Immm.


TaBe | PBE-GGA | relaxed Values from VASP.

Cell and atoms, written as Quantum ESPRESSO input:
```
&SYSTEM
  ibrav = 0, nat = 4, ntyp = 2
/
ATOMIC_SPECIES
Ta 180.95 Ta.upf
Be 9.01 Be.upf
CELL_PARAMETERS angstrom
-6.367 -5.522 -2.632
-4.201 -7.286 -2.686
-5.578 -6.838 -0.297
ATOMIC_POSITIONS angstrom
Ta -7.931 -9.650 -2.758
Be -11.959 -14.552 -4.159
Ta -4.178 -5.084 -1.453
Be -0.150 -0.182 -0.052
```

Output
The calculation puts the mass density at 10.76 g/cm³. The density of states at the Fermi level comes out at 1.08 states/eV/f.u. As for the crystal system: trigonal. The total magnetization comes out at 0.0 μB/f.u. The calculation puts the calculated total energy at -29.44 eV per cell. The space group is R-3m.


Ta2Be | PBE-GGA | relaxed Values from VASP.

Cell and atoms, written as Quantum ESPRESSO input:
```
&SYSTEM
  ibrav = 0, nat = 6, ntyp = 2
/
ATOMIC_SPECIES
Be 9.01 Be.upf
Ta 180.95 Ta.upf
CELL_PARAMETERS angstrom
-0.592 6.304 0.586
-1.282 -5.244 -3.361
-3.632 -0.549 2.242
ATOMIC_POSITIONS angstrom
Be -3.378 4.850 1.912
Ta -1.895 -0.450 -1.115
Ta -3.611 0.961 0.583
Ta -3.829 -2.700 -0.669
Ta -1.676 3.211 0.136
Be -2.128 -4.340 -2.444
```

Output
The calculation puts the mass density at 13.34 g/cm³. The density of states at the Fermi level comes out at 1.48 states/eV/f.u. As for the crystal system: orthorhombic. The total magnetization comes out at 0.0 μB/f.u. The calculation puts the calculated total energy at -54.37 eV per cell. The space group is Cmcm.


Ta2BeTc | PBE-GGA | relaxed Values from VASP.

Cell and atoms, written as Quantum ESPRESSO input:
```
&SYSTEM
  ibrav = 0, nat = 4, ntyp = 3
/
ATOMIC_SPECIES
Be 9.01 Be.upf
Tc 98.00 Tc.upf
Ta 180.95 Ta.upf
CELL_PARAMETERS angstrom
4.418 0.000 0.000
2.209 3.826 0.000
2.209 1.275 3.607
ATOMIC_POSITIONS angstrom
Be 4.418 2.551 1.804
Tc 6.627 3.826 2.706
Ta 2.209 1.275 0.902
Ta 0.000 0.000 0.000
```

Output
The calculation puts the mass density at 12.77 g/cm³. The density of states at the Fermi level comes out at 4.17 states/eV/f.u. As for the crystal system: cubic. The total magnetization comes out at 0.0 μB/f.u. The calculation puts the calculated total energy at -37.30 eV per cell. The space group is F-43m.